VASP calculation (PBE) on an optimized crystal structure of RuC.

As for the energy above the most stable polymorph in this dataset: 1842.2 meV/atom. For the formation energy from the elements, the calculation gives 2.21 eV/atom.

It has space group Fd-3m (No. 227, origin choice 2), with a = 5.5996 Å, b = 5.5996 Å, c = 5.5996 Å, α = 90.00°, β = 90.00° and γ = 90.00°. Symmetry generates all atoms from Ru at (0.1250, 0.1250, 0.1250) and C at (0.1250, 0.1250, 0.6250).


VASP calculation (PBE) on an optimized crystal structure of CeEr2Ru.

As for the energy above the most stable polymorph in this dataset: 38.6 meV/atom. For the formation energy from the elements, the calculation gives -0.30 eV/atom.

It has space group P2_1/m (No. 11), with a = 3.7696 Å, b = 9.3961 Å, c = 6.2339 Å, α = 90.00°, β = 107.59° and γ = 90.00°. Symmetry generates all atoms from Ce at (0.0802, 0.2500, 0.1614), Er at (0.3576, 0.0692, 0.7150) and Ru at (0.2685, 0.7500, 0.5369).


VASP calculation (PBE) on an optimized crystal structure of TiPS.

The uncorrected formation energy is -756 meV per atom.

It has space group Pm (No. 6), with a = 5.0163 Å, b = 3.5056 Å, c = 6.4733 Å, α = 90.00°, β = 112.09° and γ = 90.00°. Symmetry generates all atoms from Ti at (0.0000, 0.0000, 0.0000), Ti at (0.2644, 0.0000, 0.5969), P at (0.7306, 0.0000, 0.5430), P at (0.9963, 0.5000, 0.7222), S at (0.1629, 0.5000, 0.2919) and S at (0.5179, 0.0000, 0.9923).


VASP calculation (PBE) on an optimized crystal structure of BaWN3.

The uncorrected formation energy is -514 meV per atom.

It has space group C2 (No. 5), with a = 9.6810 Å, b = 5.7933 Å, c = 6.7165 Å, α = 90.00°, β = 118.84° and γ = 90.00°. Symmetry generates all atoms from Ba at (0.1294, 0.0000, 0.3441), W at (0.1299, 0.4500, 0.9305), N at (0.0607, 0.4198, 0.6007), N at (0.1088, 0.5259, 0.2025) and N at (0.1827, 0.1262, 0.9966).


Number 1: M_tot 0.0 μB/f.u., calculated density 8.6 g/cm3. Number 2: M_tot 0.4 μB/f.u., calculated density 9.1 g/cm3. Number 3: M_tot 0.0 μB/f.u., calculated density 3.5 g/cm3. Number 4: M_tot 0.0 μB/f.u., calculated density 7.3 g/cm3.